{
  "formula": "USnOs2",
  "functional": "PBE",
  "state": "optimized geometry",
  "lattice_angstrom": [[4.402, 0.000, 0.000], [0.000, 4.402, 0.000], [0.000, 0.000, 3.783]],
  "species": ["U", "Sn", "Os", "Os"],
  "frac_coords": [[0.000, 0.000, 0.000], [0.500, 0.500, 0.000], [0.000, 0.500, 0.500], [0.500, 0.000, 0.500]],
  "volume_a3_per_atom": 18.33,
  "magnetic_moment_mub_per_cell": 0.813,
  "de_polymorph_mev_per_atom": 0,
  "final_energy_ev_per_atom": -9.3527,
  "delta_e_f_ev_per_atom": 0.08
}